A plane-wave DFT calculation with PBE was carried out for a relaxed structure of LaEuAu.

Cell lengths 5.220, 5.220, 5.220 Å; angles 60.00, 60.00, 60.00 degrees
Sites, in units of the cell vectors:
1 Au 0.250 0.250 0.250
2 La 0.500 0.500 0.500
3 Eu 0.000 0.000 0.000

Computed properties:
DFT formation energy	-1.3	eV per formula unit
ρ	8.1	Mg/m³
space-group type	F-43m
energy above the most stable polymorph in this dataset	0.18	eV/f.u.
raw total energy	-6.61	eV per atom